# Pm4ErTm6 (PBE-GGA, relaxed)
data_Pm4ErTm6
_space_group_name_H-M_alt 'P -6 m 2'
_space_group_IT_number 187
_space_group_name_Hall 'P -6 2'
_cell_length_a 10.9291
_cell_length_b 10.9291
_cell_length_c 3.5328
_cell_angle_alpha 90.00
_cell_angle_beta 90.00
_cell_angle_gamma 120.00
loop_
_atom_site_label
_atom_site_fract_x
_atom_site_fract_y
_atom_site_fract_z
Pm1 0.0000 0.0000 0.0000
Pm2 0.0032 0.5016 0.5000
Er1 0.6667 0.3333 0.0000
Tm1 0.1727 0.3454 0.0000
Tm2 0.3090 0.1545 0.5000
# energy relative to the lowest polymorph listed for this composition: 0.0 meV/atom
# ΔH_f (0 K): 0.17 eV/atom

A plane-wave DFT calculation with PBE-GGA was carried out for a geometry-optimized Na2Hf2PdS6 structure.

Geometry as CIF:
```
data_Na2Hf2PdS6
_space_group_name_H-M_alt 'C 1 2/m 1'
_space_group_IT_number 12
_space_group_name_Hall '-C 2y'
_cell_length_a 6.338
_cell_length_b 11.069
_cell_length_c 7.096
_cell_angle_alpha 90.00
_cell_angle_beta 105.75
_cell_angle_gamma 90.00
loop_
_atom_site_label
_atom_site_fract_x
_atom_site_fract_y
_atom_site_fract_z
Na1 0.000 0.158 0.000
Hf1 0.000 0.325 0.500
Pd1 0.000 0.000 0.500
S1 0.243 0.500 0.694
S2 0.248 0.327 0.278
```

# Hg2AuCl (PBE-GGA, relaxed)
data_Hg2AuCl
_space_group_name_H-M_alt 'C m m m'
_space_group_IT_number 65
_space_group_name_Hall '-C 2 2'
_cell_length_a 3.793
_cell_length_b 6.386
_cell_length_c 8.382
_cell_angle_alpha 90.00
_cell_angle_beta 90.00
_cell_angle_gamma 90.00
loop_
_atom_site_label
_atom_site_fract_x
_atom_site_fract_y
_atom_site_fract_z
Hg1 0.000 0.000 0.243
Au1 0.000 0.500 0.000
Cl1 0.000 0.500 0.500
# energy relative to the lowest polymorph listed for this composition: 69.5 meV/atom

no.,VASP energy (eV per cell)
1,-48.5
2,-131.7
3,-11.9